A plane-wave DFT calculation with GGA-PBE was carried out for Y7Ir6 after structural relaxation.

Computed properties:
Magnetic moment: 0.00 μB/atom
Uncorrected energy: -7.313 eV/atom
Space group: R-3m, No. 166
DOS(E_F): 14.02 states/eV/cell
Formation energy from the elements: 0.26 eV/atom

Cell: 8.8552 8.8552 8.8552 Å, 44.81 44.81 44.81°
Last column: nearest neighbours and their distance in Å.
Fractional coordinates of all 13 atoms:
Y1 0.0000 0.0000 0.0000  6 Y 2.96
Y2 0.0891 0.0891 0.5568  3 Ir 2.70-2.99, 1 Y 2.96
Y3 0.0891 0.5568 0.0891  3 Ir 2.70-2.99, 1 Y 2.96
Y4 0.4432 0.9109 0.9109  3 Ir 2.70-2.99, 1 Y 2.96
Y5 0.5568 0.0891 0.0891  3 Ir 2.70-2.99, 1 Y 2.96
Y6 0.9109 0.4432 0.9109  3 Ir 2.70-2.99, 1 Y 2.96
Y7 0.9109 0.9109 0.4432  3 Ir 2.70-2.99, 1 Y 2.96
Ir1 0.1613 0.1613 0.1613  6 Y 2.70-2.71
Ir2 0.3443 0.3443 0.3443  1 Ir 2.52
Ir3 0.4498 0.4498 0.4498  2 Ir 2.40-2.52
Ir4 0.5502 0.5502 0.5502  2 Ir 2.40-2.52
Ir5 0.6557 0.6557 0.6557  1 Ir 2.52
Ir6 0.8387 0.8387 0.8387  6 Y 2.70-2.71